Version A
TiMoRh | PBE | relaxed

SG   Cm, No. 8
Theoretical density   8.97 g cm⁻³

Cell lengths 5.4257, 4.3274, 9.4598 Å; angles 90.00, 124.69, 90.00 degrees
With the nearest neighbours (Å) after each atom.
Fractional coordinates of all 12 atoms:
Ti1 0.2528 0.5000 0.3396  4 Mo 2.68-2.72, 3 Rh 2.69-2.72, 1 Ti 2.73
Rh1 0.3716 0.0000 0.1575  3 Ti 2.60-2.69, 3 Mo 2.70-2.86, 3 Rh 2.85-2.89
Mo1 0.5782 0.5000 0.0116  2 Mo 2.66, 4 Ti 2.68-2.73, 2 Rh 2.76-2.86
Mo2 0.8965 0.0000 0.1790  2 Mo 2.66, 3 Ti 2.66-2.72, 3 Rh 2.70-2.76
Rh2 0.7652 0.5000 0.3511  4 Ti 2.60-2.72, 2 Mo 2.76, 3 Rh 2.85-2.89
Rh3 0.7652 0.0000 0.8511  4 Ti 2.60-2.72, 2 Mo 2.76, 3 Rh 2.85-2.89
Ti2 0.0678 0.5000 0.0046  4 Rh 2.60, 3 Mo 2.66-2.73, 1 Ti 2.73
Ti3 0.2528 0.0000 0.8396  4 Mo 2.68-2.72, 3 Rh 2.69-2.72, 1 Ti 2.73
Ti4 0.0678 0.0000 0.5046  4 Rh 2.60, 3 Mo 2.66-2.73, 1 Ti 2.73
Mo3 0.5782 0.0000 0.5116  2 Mo 2.66, 4 Ti 2.68-2.73, 2 Rh 2.76-2.86
Mo4 0.8965 0.5000 0.6790  2 Mo 2.66, 3 Ti 2.66-2.72, 3 Rh 2.70-2.76
Rh4 0.3716 0.5000 0.6575  3 Ti 2.60-2.69, 3 Mo 2.70-2.86, 3 Rh 2.85-2.89



Version B
TiMoRh | PBE | relaxed

SG   Cm, No. 8
Theoretical density   8.88 g cm⁻³

Cell lengths 6.1528, 3.2023, 9.6451 Å; angles 90.00, 103.79, 90.00 degrees
With the nearest neighbours (Å) after each atom.
Fractional coordinates of all 12 atoms:
Ti1 0.9479 0.0000 0.9970  4 Rh 2.55-2.60, 2 Mo 2.75
Rh1 0.7754 0.5000 0.1471  4 Ti 2.55-2.67, 2 Mo 2.76, 2 Rh 2.86
Ti2 0.9479 0.5000 0.4970  4 Rh 2.55-2.60, 2 Mo 2.75
Mo1 0.2802 0.5000 0.1530  2 Mo 2.61, 4 Ti 2.74-2.75, 2 Rh 2.76
Mo2 0.4411 0.5000 0.4881  2 Mo 2.61, 2 Ti 2.68, 4 Rh 2.76
Ti3 0.6044 0.0000 0.3151  2 Rh 2.67, 4 Mo 2.68-2.74, 2 Ti 2.89
Rh2 0.7754 0.0000 0.6471  4 Ti 2.55-2.67, 2 Mo 2.76, 2 Rh 2.86
Rh3 0.1055 0.5000 0.8327  2 Ti 2.60, 4 Mo 2.76, 2 Rh 2.86
Ti4 0.6044 0.5000 0.8151  2 Rh 2.67, 4 Mo 2.68-2.74, 2 Ti 2.89
Mo3 0.4411 0.0000 0.9881  2 Mo 2.61, 2 Ti 2.68, 4 Rh 2.76
Mo4 0.2802 0.0000 0.6530  2 Mo 2.61, 4 Ti 2.74-2.75, 2 Rh 2.76
Rh4 0.1055 0.0000 0.3327  2 Ti 2.60, 4 Mo 2.76, 2 Rh 2.86



From most stable to least stable, the computed energies give version A, version B.



Version A
TiMoRh | PBE | relaxed

SG   P3m1, No. 156
Theoretical density   8.96 g cm⁻³

Cell lengths 4.3745, 4.3745, 5.5158 Å; angles 90.00, 90.00, 120.00 degrees
With the nearest neighbours (Å) after each atom.
Fractional coordinates of all 6 atoms:
Ti1 0.0000 0.0000 0.0502  6 Rh 2.63-2.68, 2 Mo 2.71-2.81
Mo1 0.0000 0.0000 0.5588  3 Mo 2.65, 5 Ti 2.67-2.81
Mo2 0.6667 0.3333 0.7037  3 Mo 2.65, 5 Rh 2.72-2.80
Rh1 0.6667 0.3333 0.2114  6 Ti 2.68-2.74, 2 Mo 2.72-2.80
Ti2 0.3333 0.6667 0.4038  3 Mo 2.67, 5 Rh 2.68-2.83
Rh2 0.3333 0.6667 0.9176  5 Ti 2.63-2.83, 3 Mo 2.79



Version B
TiMoRh | PBE | relaxed

SG   C2/m, No. 12
Theoretical density   8.95 g cm⁻³

Cell lengths 5.5250, 4.3102, 9.4033 Å; angles 90.00, 125.15, 90.00 degrees
With the nearest neighbours (Å) after each atom.
Fractional coordinates of all 12 atoms:
Ti1 0.5000 0.5000 0.5000  4 Rh 2.60, 2 Mo 2.60, 2 Ti 2.76
Ti2 0.0000 0.5000 0.5000  4 Mo 2.71, 2 Ti 2.76, 2 Rh 2.83
Rh1 0.1924 0.5000 0.8516  3 Ti 2.60-2.83, 3 Mo 2.71-2.79, 3 Rh 2.85-2.90
Rh2 0.1924 0.0000 0.3516  3 Ti 2.60-2.83, 3 Mo 2.71-2.79, 3 Rh 2.85-2.90
Ti3 0.5000 0.0000 0.0000  4 Rh 2.60, 2 Mo 2.60, 2 Ti 2.76
Mo1 0.6646 0.5000 0.8207  3 Ti 2.60-2.71, 2 Mo 2.63, 3 Rh 2.71-2.79
Mo2 0.3354 0.0000 0.6793  3 Ti 2.60-2.71, 2 Mo 2.63, 3 Rh 2.71-2.79
Mo3 0.3354 0.5000 0.1793  3 Ti 2.60-2.71, 2 Mo 2.63, 3 Rh 2.71-2.79
Rh3 0.8076 0.0000 0.6484  3 Ti 2.60-2.83, 3 Mo 2.71-2.79, 3 Rh 2.85-2.90
Mo4 0.6646 0.0000 0.3207  3 Ti 2.60-2.71, 2 Mo 2.63, 3 Rh 2.71-2.79
Rh4 0.8076 0.5000 0.1484  3 Ti 2.60-2.83, 3 Mo 2.71-2.79, 3 Rh 2.85-2.90
Ti4 0.0000 0.0000 0.0000  4 Mo 2.71, 2 Ti 2.76, 2 Rh 2.83



Version C
TiMoRh | PBE | relaxed

SG   Cmmm, No. 65
Theoretical density   8.97 g cm⁻³

Cell lengths 9.4440, 4.3673, 4.4315 Å; angles 90.00, 90.00, 90.00 degrees
With the nearest neighbours (Å) after each atom.
Fractional coordinates of all 12 atoms:
Ti1 0.0000 0.0000 0.0000  4 Rh 2.63, 4 Mo 2.72
Rh1 0.6544 0.0000 0.0000  4 Ti 2.63-2.65, 2 Mo 2.78, 3 Rh 2.83-2.92
Rh2 0.1544 0.5000 0.0000  4 Ti 2.63-2.65, 2 Mo 2.78, 3 Rh 2.83-2.92
Mo1 0.1675 0.0000 0.5000  2 Mo 2.68, 4 Ti 2.70-2.72, 2 Rh 2.78
Ti2 0.0000 0.5000 0.5000  4 Rh 2.65, 4 Mo 2.70
Ti3 0.5000 0.5000 0.0000  4 Rh 2.63, 4 Mo 2.72
Mo2 0.6675 0.5000 0.5000  2 Mo 2.68, 4 Ti 2.70-2.72, 2 Rh 2.78
Mo3 0.3325 0.5000 0.5000  2 Mo 2.68, 4 Ti 2.70-2.72, 2 Rh 2.78
Rh3 0.8456 0.5000 0.0000  4 Ti 2.63-2.65, 2 Mo 2.78, 3 Rh 2.83-2.92
Rh4 0.3456 0.0000 0.0000  4 Ti 2.63-2.65, 2 Mo 2.78, 3 Rh 2.83-2.92
Mo4 0.8325 0.0000 0.5000  2 Mo 2.68, 4 Ti 2.70-2.72, 2 Rh 2.78
Ti4 0.5000 0.0000 0.5000  4 Rh 2.65, 4 Mo 2.70



Version D
TiMoRh | PBE | relaxed

SG   Pm, No. 6
Theoretical density   8.93 g cm⁻³

Cell lengths 4.6101, 3.0343, 6.7779 Å; angles 90.00, 104.65, 90.00 degrees
With the nearest neighbours (Å) after each atom.
Fractional coordinates of all 6 atoms:
Ti1 0.0632 0.0000 0.8228  3 Mo 2.70-2.83, 6 Rh 2.72-2.80
Ti2 0.4336 0.0000 0.4897  4 Rh 2.61-2.62, 4 Mo 2.75-2.76
Mo1 0.9299 0.5000 0.4831  2 Mo 2.61, 6 Ti 2.70-2.76
Mo2 0.8038 0.0000 0.1588  2 Mo 2.61, 6 Rh 2.75-2.78, 1 Ti 2.83
Rh1 0.5484 0.5000 0.8141  6 Ti 2.61-2.80, 2 Mo 2.78, 1 Rh 2.86
Rh2 0.3076 0.5000 0.1636  4 Ti 2.62-2.76, 4 Mo 2.75-2.77, 1 Rh 2.86



From most stable to least stable, the computed energies give version A, version D, version C, version B.



Version A
TiMoRh2 | PBE | relaxed

SG   P4/mmm, No. 123
Theoretical density   9.74 g cm⁻³

Cell lengths 2.8120, 2.8120, 7.5365 Å; angles 90.00, 90.00, 90.00 degrees
With the nearest neighbours (Å) after each atom.
Fractional coordinates of all 4 atoms:
Mo1 0.5000 0.5000 0.5000  8 Rh 2.75, 4 Mo 2.81
Ti1 0.5000 0.5000 0.0000  8 Rh 2.72, 4 Ti 2.81
Rh1 0.0000 0.0000 0.7530  4 Ti 2.72, 4 Mo 2.75, 4 Rh 2.81
Rh2 0.0000 0.0000 0.2470  4 Ti 2.72, 4 Mo 2.75, 4 Rh 2.81



Version B
TiMoRh2 | PBE | relaxed

SG   Fm-3m, No. 225
Theoretical density   9.52 g cm⁻³

Cell lengths 4.4178, 4.4178, 4.4178 Å; angles 60.00, 60.00, 60.00 degrees
With the nearest neighbours (Å) after each atom.
Fractional coordinates of all 4 atoms:
Mo1 0.5000 0.5000 0.5000  8 Rh 2.71
Ti1 0.0000 0.0000 0.0000  8 Rh 2.71
Rh1 0.7500 0.7500 0.7500  4 Ti 2.71, 4 Mo 2.71
Rh2 0.2500 0.2500 0.2500  4 Mo 2.71, 4 Ti 2.71



Version C
TiMoRh2 | PBE | relaxed

SG   P4/mmm, No. 123
Theoretical density   9.76 g cm⁻³

Cell lengths 3.7973, 3.9587, 3.9587 Å; angles 90.00, 90.00, 90.00 degrees
With the nearest neighbours (Å) after each atom.
Fractional coordinates of all 4 atoms:
Ti1 0.5000 0.0000 0.0000  8 Rh 2.74, 4 Mo 2.80
Mo1 0.5000 0.5000 0.5000  8 Rh 2.74, 4 Ti 2.80
Rh1 0.0000 0.0000 0.5000  4 Mo 2.74, 4 Ti 2.74, 4 Rh 2.80
Rh2 0.0000 0.5000 0.0000  4 Ti 2.74, 4 Mo 2.74, 4 Rh 2.80



From most stable to least stable, the computed energies give version A, version C, version B.



Version A
Tl2MoRh | PBE | relaxed

SG   Imm2, No. 44
Theoretical density   12.43 g cm⁻³

Cell lengths 6.3071, 6.3071, 6.3071 Å; angles 152.75, 134.75, 53.63 degrees
With the nearest neighbours (Å) after each atom.
Fractional coordinates of all 4 atoms:
Rh1 0.2826 0.7826 0.5000  2 Mo 2.59
Mo1 0.4713 0.4713 0.0000  2 Rh 2.59, 4 Tl 2.90
Tl1 0.0190 0.0190 0.0000  4 Mo 2.90, 2 Tl 2.97
Tl2 0.7270 0.2270 0.5000  4 Rh 2.91, 2 Tl 2.97, 2 Mo 3.24



Version B
Tl2MoRh | PBE | relaxed

SG   C2/m, No. 12
Theoretical density   13.18 g cm⁻³

Cell lengths 4.8094, 4.8094, 5.5843 Å; angles 80.05, 80.05, 37.08 degrees
With the nearest neighbours (Å) after each atom.
Fractional coordinates of all 4 atoms:
Tl1 0.5029 0.5029 0.4952  3 Rh 2.86-2.89, 3 Mo 2.88-2.91, 4 Tl 3.06-3.15
Rh1 0.2500 0.2500 0.2500  6 Tl 2.86-2.89, 2 Rh 3.06, 4 Mo 3.18
Mo1 0.7500 0.7500 0.7500  6 Tl 2.88-2.91, 2 Mo 3.06, 4 Rh 3.18
Tl2 0.9971 0.9971 0.0048  3 Rh 2.86-2.89, 3 Mo 2.88-2.91, 4 Tl 3.06-3.15



From most stable to least stable, the computed energies give version A, version B.



Version A
VMoRh | PBE | relaxed

SG   P-6m2, No. 187
Theoretical density   9.32 g cm⁻³

Cell lengths 2.6297, 4.4197, 4.4197 Å; angles 120.00, 90.00, 90.00 degrees
With the nearest neighbours (Å) after each atom.
Fractional coordinates of all 3 atoms:
V1 0.6667 0.6667 0.3333  2 V 2.63, 6 Rh 2.87, 6 Mo 2.87
Mo1 0.1661 0.3333 0.6667  3 Rh 2.55, 2 Mo 2.63
Rh1 0.1672 0.0000 0.0000  3 Mo 2.55, 2 Rh 2.63



Version B
VMoRh | PBE | relaxed

SG   I4mm, No. 107
Theoretical density   9.45 g cm⁻³

Cell lengths 3.0825, 3.0825, 5.1084 Å; angles 107.56, 107.56, 90.00 degrees
With the nearest neighbours (Å) after each atom.
Fractional coordinates of all 3 atoms:
Rh1 0.9581 0.9581 0.9162  4 V 2.64, 5 Mo 2.78-2.90
V1 0.6199 0.6199 0.2397  4 Mo 2.59, 4 Rh 2.64
Mo1 0.2720 0.2720 0.5441  4 V 2.59, 5 Rh 2.78-2.90



From most stable to least stable, the computed energies give version B, version A.



Version A
VMoRh | PBE | relaxed

SG   Cmmm, No. 65
Theoretical density   7.80 g cm⁻³

Cell lengths 4.3484, 4.9446, 4.9446 Å; angles 90.04, 90.00, 90.00 degrees
With the nearest neighbours (Å) after each atom.
Fractional coordinates of all 6 atoms:
Rh1 0.5000 0.8148 0.1852  1 V 2.20
V1 0.5000 0.5000 0.5000  2 Rh 2.20
Mo1 0.0000 0.3181 0.3181  1 V 2.22
Rh2 0.5000 0.1852 0.8148  1 V 2.20
V2 0.0000 0.0000 0.0000  2 Mo 2.22
Mo2 0.0000 0.6819 0.6819  1 V 2.22



Version B
VMoRh | PBE | relaxed

SG   P4/nmm, No. 129
Theoretical density   9.44 g cm⁻³

Cell lengths 3.0974, 3.0975, 9.1609 Å; angles 90.00, 90.01, 90.00 degrees
With the nearest neighbours (Å) after each atom.
Fractional coordinates of all 6 atoms:
Mo1 0.8725 0.2912 0.8396  4 Mo 2.67, 4 V 2.72-2.73, 1 Rh 2.86
Mo2 0.3723 0.7911 0.6727  4 Mo 2.67, 4 V 2.72-2.73, 1 Rh 2.86
V1 0.8722 0.2909 0.4958  4 Rh 2.52, 4 Mo 2.72-2.73
V2 0.3728 0.7912 0.0166  4 Rh 2.52, 4 Mo 2.72-2.73
Rh1 0.8727 0.2913 0.1518  4 V 2.52
Rh2 0.3721 0.7910 0.3605  4 V 2.52



From most stable to least stable, the computed energies give version B, version A.



Version A
V3MoRh | PBE | relaxed

SG   Pm-3m, No. 221
Theoretical density   6.31 g cm⁻³

Cell lengths 4.5234, 4.5234, 4.5234 Å; angles 90.00, 90.00, 90.00 degrees
With the nearest neighbours (Å) after each atom.
Fractional coordinates of all 5 atoms:
Mo1 0.5000 0.5000 0.5000  12 V 3.20
V1 0.5000 0.0000 0.0000  2 Rh 2.26
V2 0.0000 0.0000 0.5000  2 Rh 2.26
Rh1 0.0000 0.0000 0.0000  6 V 2.26
V3 0.0000 0.5000 0.0000  2 Rh 2.26



Version B
V3MoRh | PBE | relaxed

SG   C2/c, No. 15
Theoretical density   8.14 g cm⁻³

Cell lengths 5.0328, 7.7051, 7.7051 Å; angles 84.27, 78.78, 78.78 degrees
With the nearest neighbours (Å) after each atom.
Fractional coordinates of all 20 atoms:
V1 0.5034 0.1924 0.5502  3 V 2.47-2.60, 1 Mo 2.53, 2 Rh 2.63-2.67
Mo1 0.7500 0.1928 0.8072  4 V 2.41-2.53
Rh1 0.9709 0.3225 0.4696  5 V 2.53-2.81, 1 Mo 2.79, 1 Rh 2.80
V2 0.8587 0.2714 0.1363  4 V 2.50-2.79, 1 Rh 2.53, 1 Mo 2.63
Rh2 0.4709 0.4696 0.3225  5 V 2.53-2.81, 1 Mo 2.79, 1 Rh 2.80
Mo2 0.2500 0.0730 0.9270  6 V 2.63-2.92, 5 Mo 2.75-2.93
Rh3 0.5291 0.5304 0.6775  5 V 2.53-2.81, 1 Mo 2.79, 1 Rh 2.80
V3 0.3828 0.3702 0.9971  2 Mo 2.41-2.64, 4 V 2.47-2.64, 1 Rh 2.68
V4 0.1413 0.7286 0.8637  4 V 2.50-2.79, 1 Rh 2.53, 1 Mo 2.63
V5 0.1172 0.0029 0.6298  2 Mo 2.41-2.64, 4 V 2.47-2.64, 1 Rh 2.68
Rh4 0.0291 0.6775 0.5304  5 V 2.53-2.81, 1 Mo 2.79, 1 Rh 2.80
V6 0.9966 0.4498 0.8076  3 V 2.47-2.60, 1 Mo 2.53, 2 Rh 2.63-2.67
Mo3 0.7500 0.9270 0.0730  6 V 2.63-2.92, 5 Mo 2.75-2.93
V7 0.4966 0.8076 0.4498  3 V 2.47-2.60, 1 Mo 2.53, 2 Rh 2.63-2.67
V8 0.3587 0.1363 0.2714  4 V 2.50-2.79, 1 Rh 2.53, 1 Mo 2.63
V9 0.8828 0.9971 0.3702  2 Mo 2.41-2.64, 4 V 2.47-2.64, 1 Rh 2.68
Mo4 0.2500 0.8072 0.1928  4 V 2.41-2.53
V10 0.6172 0.6298 0.0029  2 Mo 2.41-2.64, 4 V 2.47-2.64, 1 Rh 2.68
V11 0.0034 0.5502 0.1924  3 V 2.47-2.60, 1 Mo 2.53, 2 Rh 2.63-2.67
V12 0.6413 0.8637 0.7286  4 V 2.50-2.79, 1 Rh 2.53, 1 Mo 2.63



Version C
V3MoRh | PBE | relaxed

SG   Pnna, No. 52
Theoretical density   7.93 g cm⁻³

Cell lengths 5.1438, 6.4776, 8.8447 Å; angles 90.00, 90.00, 90.00 degrees
With the nearest neighbours (Å) after each atom.
Fractional coordinates of all 20 atoms:
Rh1 0.0110 0.0000 0.2500  8 V 2.59-2.80, 2 Mo 2.71
V1 0.4891 0.8822 0.8396  1 V 2.20
V2 0.5109 0.1178 0.1604  1 V 2.20
V3 0.9891 0.6178 0.3396  1 V 2.20
V4 0.4891 0.1178 0.6604  1 V 2.20
V5 0.2500 0.7500 0.0694  2 V 2.53, 2 Mo 2.57, 2 Rh 2.59
V6 0.9891 0.3822 0.1604  1 V 2.20
Rh2 0.4890 0.5000 0.2500  8 V 2.59-2.80, 2 Mo 2.71
V7 0.0109 0.6178 0.8396  1 V 2.20
V8 0.7500 0.2500 0.9306  2 V 2.53, 2 Mo 2.57, 2 Rh 2.59
Mo1 0.7500 0.2500 0.4432  4 V 2.49-2.57, 2 Rh 2.71
V9 0.5109 0.8822 0.3396  1 V 2.20
Mo2 0.7500 0.7500 0.0568  4 V 2.49-2.57, 2 Rh 2.71
Mo3 0.2500 0.2500 0.9432  4 V 2.49-2.57, 2 Rh 2.71
Rh3 0.9890 0.0000 0.7500  8 V 2.59-2.80, 2 Mo 2.71
Rh4 0.5110 0.5000 0.7500  8 V 2.59-2.80, 2 Mo 2.71
Mo4 0.2500 0.7500 0.5568  4 V 2.49-2.57, 2 Rh 2.71
V10 0.2500 0.2500 0.4306  2 V 2.53, 2 Mo 2.57, 2 Rh 2.59
V11 0.0109 0.3822 0.6604  1 V 2.20
V12 0.7500 0.7500 0.5694  2 V 2.53, 2 Mo 2.57, 2 Rh 2.59



From most stable to least stable, the computed energies give version B, version C, version A.



Version A
V2MoRh3 | PBE | relaxed

SG   P4/mmm, No. 123
Theoretical density   9.94 g cm⁻³

Cell lengths 2.7417, 2.7417, 11.2624 Å; angles 90.00, 90.00, 90.00 degrees
With the nearest neighbours (Å) after each atom.
Fractional coordinates of all 6 atoms:
Mo1 0.5000 0.5000 0.5000  4 Mo 2.74, 8 Rh 2.77
Rh1 0.0000 0.0000 0.0000  8 V 2.66, 4 Rh 2.74
V1 0.5000 0.5000 0.1623  8 Rh 2.66, 4 V 2.74
V2 0.5000 0.5000 0.8377  8 Rh 2.66, 4 V 2.74
Rh2 0.0000 0.0000 0.6758  4 V 2.66, 4 Rh 2.74, 4 Mo 2.77
Rh3 0.0000 0.0000 0.3242  4 V 2.66, 4 Rh 2.74, 4 Mo 2.77



Version B
V2MoRh3 | PBE | relaxed

SG   Cmmm, No. 65
Theoretical density   9.75 g cm⁻³

Cell lengths 4.5386, 5.4946, 7.7794 Å; angles 110.68, 106.96, 90.00 degrees
With the nearest neighbours (Å) after each atom.
Fractional coordinates of all 12 atoms:
Rh1 0.8161 0.0661 0.6321  6 V 2.60-2.68, 4 Rh 2.75-2.91, 2 Mo 2.89
Rh2 0.5000 0.7500 0.0000  4 V 2.56, 4 Mo 2.65, 2 Rh 2.75
V1 0.3438 0.8438 0.6876  8 Rh 2.56-2.68, 2 V 2.75
Mo1 0.0000 0.0000 0.0000  8 Rh 2.65-2.89, 2 Mo 2.75
Rh3 0.1839 0.9339 0.3679  6 V 2.60-2.68, 4 Rh 2.75-2.91, 2 Mo 2.89
Rh4 0.5000 0.2500 0.0000  4 V 2.56, 4 Mo 2.65, 2 Rh 2.75
V2 0.3438 0.3438 0.6876  8 Rh 2.56-2.68, 2 V 2.75
Rh5 0.1839 0.4339 0.3679  6 V 2.60-2.68, 4 Rh 2.75-2.91, 2 Mo 2.89
V3 0.6562 0.6562 0.3124  8 Rh 2.56-2.68, 2 V 2.75
Rh6 0.8161 0.5661 0.6321  6 V 2.60-2.68, 4 Rh 2.75-2.91, 2 Mo 2.89
V4 0.6562 0.1562 0.3124  8 Rh 2.56-2.68, 2 V 2.75
Mo2 0.0000 0.5000 0.0000  8 Rh 2.65-2.89, 2 Mo 2.75



From most stable to least stable, the computed energies give version A, version B.